Model i:
Here is a geometry-optimized HgPRh structure from the Alexandria database. Energies are from PBE.

Cell lengths 6.117, 6.117, 6.117 Å; angles 90.00, 90.00, 90.00 degrees
Space group F-43m (No. 216)
One atom of each set of equivalent atoms:
Hg: 0.000 0.000 0.000 x4
P: 0.000 0.000 0.500 x4
Rh: 0.250 0.250 0.750 x4

- size of the total moment (Bohr magnetons per cell) = 0.000

---

Model ii:
Here is a geometry-optimized HgPRh structure from the Alexandria database. Energies are from PBE.

Cell lengths 3.2273, 3.2273, 6.1614 Å; angles 90.00, 90.00, 120.00 degrees
Space group P3m1 (No. 156)
One atom of each set of equivalent atoms:
Hg: 0.0000 0.0000 0.0000 x1
P: 0.0000 0.0000 0.5805 x1
Rh: 0.3333 0.6667 0.3692 x1

- size of the total moment (Bohr magnetons per cell) = 0.000

---

Most stable structure: model ii

---

Model i:
Here is a geometry-optimized HgPRh structure from the Alexandria database. Energies are from PBE.

Cell lengths 3.9845, 3.9845, 3.9389 Å; angles 90.00, 90.00, 120.00 degrees
Space group P-6m2 (No. 187)
One atom of each set of equivalent atoms:
Hg: 0.0000 0.0000 0.0000 x1
P: 0.3333 0.6667 0.5000 x1
Rh: 0.6667 0.3333 0.5000 x1

- size of the total moment (Bohr magnetons per cell) = 0.000

---

Model ii:
Here is a geometry-optimized HgPRh structure from the Alexandria database. Energies are from PBE.

Cell lengths 3.2589, 3.2589, 18.3572 Å; angles 90.00, 90.00, 120.00 degrees
Space group R3m (No. 160, hexagonal axes)
One atom of each set of equivalent atoms:
Hg: 0.0000 0.0000 0.0000 x3
P: 0.0000 0.0000 0.1415 x3
Rh: 0.0000 0.0000 0.5439 x3

- size of the total moment (Bohr magnetons per cell) = 0.000

---

Most stable structure: model ii